The following is a DFT calculation (SCAN) of TiZnF5 at its PBEsol-relaxed geometry.

a = 5.301 Å, b = 5.301 Å, c = 7.386 Å
α = 69.59°, β = 69.59°, γ = 72.67°
Positions (direct):
Ti  0.000  0.000  0.000
Ti  0.000  0.000  0.500
Zn  0.527  0.473  0.750
Zn  0.473  0.527  0.250
F  0.130  0.870  0.250
F  0.870  0.130  0.750
F  0.208  0.281  0.365
F  0.719  0.792  0.135
F  0.716  0.329  0.042
F  0.671  0.284  0.458
F  0.284  0.671  0.958
F  0.329  0.716  0.542
F  0.281  0.208  0.865
F  0.792  0.719  0.635

## Properties
**Distance to the lowest polymorph of the same formula**: 0.0000 eV/atom
**Density**: 3.87 Mg/m³
**Magnetic moment**: 1.000 μB per formula unit
**Crystal system**: monoclinic